# 1
DFT (PBE-GGA) results for a geometry-optimized AcYAg2Pb2 structure.

Properties
Its symmetry is P-3m1. Its formation energy is -430.2 meV per atom. As for the total energy: -4.3789 eV per atom.

Cell: 4.9190 4.9190 7.9408 Å, 90.00 90.00 120.00°
With the nearest neighbours (Å) after each atom.
Fractional positions:
1 Ac 0.0000 0.0000 0.0000  6 Pb 3.50, 6 Ag 3.83
2 Y 0.0000 0.0000 0.5000  6 Ag 3.17, 6 Pb 3.43
3 Ag 0.3333 0.6667 0.6767  3 Pb 2.89, 3 Y 3.17
4 Ag 0.6667 0.3333 0.3233  3 Pb 2.89, 3 Y 3.17
5 Pb 0.3333 0.6667 0.2576  3 Ag 2.89
6 Pb 0.6667 0.3333 0.7424  3 Ag 2.89

# 2
DFT (PBE-GGA) results for a geometry-optimized AcYAgPb structure.

Properties
Its symmetry is F-43m. Its formation energy is -362.2 meV per atom. As for the total energy: -4.6453 eV per atom.

Cell: 7.8402 7.8402 7.8402 Å, 90.00 90.00 90.00°
With the nearest neighbours (Å) after each atom.
Fractional positions:
1 Ac 0.0000 0.0000 0.0000  4 Pb 3.39, 4 Ag 3.39
2 Ac 0.0000 0.5000 0.5000  4 Pb 3.39, 4 Ag 3.39
3 Ac 0.5000 0.0000 0.5000  4 Pb 3.39, 4 Ag 3.39
4 Ac 0.5000 0.5000 0.0000  4 Pb 3.39, 4 Ag 3.39
5 Y 0.0000 0.0000 0.5000  4 Ag 3.39, 4 Pb 3.39
6 Y 0.0000 0.5000 0.0000  4 Ag 3.39, 4 Pb 3.39
7 Y 0.5000 0.0000 0.0000  4 Ag 3.39, 4 Pb 3.39
8 Y 0.5000 0.5000 0.5000  4 Ag 3.39, 4 Pb 3.39
9 Ag 0.2500 0.2500 0.7500  4 Ac 3.39, 4 Y 3.39
10 Ag 0.2500 0.7500 0.2500  4 Ac 3.39, 4 Y 3.39
11 Ag 0.7500 0.2500 0.2500  4 Ac 3.39, 4 Y 3.39
12 Ag 0.7500 0.7500 0.7500  4 Ac 3.39, 4 Y 3.39
13 Pb 0.2500 0.2500 0.2500  4 Y 3.39, 4 Ac 3.39
14 Pb 0.2500 0.7500 0.7500  4 Ac 3.39, 4 Y 3.39
15 Pb 0.7500 0.2500 0.7500  4 Ac 3.39, 4 Y 3.39
16 Pb 0.7500 0.7500 0.2500  4 Ac 3.39, 4 Y 3.39

# 3
DFT (PBE-GGA) results for a geometry-optimized AcZnAgPb structure.

Properties
Its symmetry is F-43m. Its formation energy is -257.2 meV per atom. As for the total energy: -3.2427 eV per atom.

Cell: 7.4924 7.4924 7.4924 Å, 90.00 90.00 90.00°
With the nearest neighbours (Å) after each atom.
Fractional positions:
1 Ac 0.0000 0.0000 0.0000  4 Zn 3.24, 4 Ag 3.24
2 Ac 0.0000 0.5000 0.5000  4 Zn 3.24, 4 Ag 3.24
3 Ac 0.5000 0.0000 0.5000  4 Zn 3.24, 4 Ag 3.24
4 Ac 0.5000 0.5000 0.0000  4 Zn 3.24, 4 Ag 3.24
5 Zn 0.2500 0.2500 0.7500  4 Ac 3.24, 4 Pb 3.24
6 Zn 0.2500 0.7500 0.2500  4 Ac 3.24, 4 Pb 3.24
7 Zn 0.7500 0.2500 0.2500  4 Ac 3.24, 4 Pb 3.24
8 Zn 0.7500 0.7500 0.7500  4 Ac 3.24, 4 Pb 3.24
9 Ag 0.2500 0.2500 0.2500  4 Ac 3.24, 4 Pb 3.24
10 Ag 0.2500 0.7500 0.7500  4 Ac 3.24, 4 Pb 3.24
11 Ag 0.7500 0.2500 0.7500  4 Ac 3.24, 4 Pb 3.24
12 Ag 0.7500 0.7500 0.2500  4 Ac 3.24, 4 Pb 3.24
13 Pb 0.0000 0.0000 0.5000  4 Zn 3.24, 4 Ag 3.24
14 Pb 0.0000 0.5000 0.0000  4 Zn 3.24, 4 Ag 3.24
15 Pb 0.5000 0.0000 0.0000  4 Zn 3.24, 4 Ag 3.24
16 Pb 0.5000 0.5000 0.5000  4 Zn 3.24, 4 Ag 3.24

# 4
DFT (PBE-GGA) results for a geometry-optimized Ac2Zn3Ag4Pb structure.

Properties
Its symmetry is P-4m2. Its formation energy is -230.4 meV per atom. As for the total energy: -2.9457 eV per atom.

Cell: 4.5572 4.5572 11.4636 Å, 90.00 90.00 90.00°
With the nearest neighbours (Å) after each atom.
Fractional positions:
1 Ac 0.0000 0.5000 0.2385  8 Ag 3.46-3.56, 6 Zn 3.49-3.76, 2 Pb 3.76
2 Ac 0.5000 0.0000 0.7615  8 Ag 3.46-3.56, 6 Zn 3.49-3.76, 2 Pb 3.76
3 Zn 0.0000 0.5000 0.8780  5 Ag 2.59-2.67
4 Zn 0.5000 0.0000 0.1220  5 Ag 2.59-2.67
5 Zn 0.5000 0.5000 0.5000  4 Ag 2.87
6 Ag 0.0000 0.0000 0.0000  4 Zn 2.67
7 Ag 0.0000 0.5000 0.6518  3 Zn 2.59-2.87, 2 Pb 2.87
8 Ag 0.5000 0.0000 0.3482  3 Zn 2.59-2.87, 2 Pb 2.87
9 Ag 0.5000 0.5000 0.0000  4 Zn 2.67
10 Pb 0.0000 0.0000 0.5000  4 Ag 2.87

# 5
DFT (PBE-GGA) results for a geometry-optimized Ac2Zn4Ag3Pb structure.

Properties
Its symmetry is P-4m2. Its formation energy is -246.0 meV per atom. As for the total energy: -2.8035 eV per atom.

Cell: 4.5449 4.5449 11.3453 Å, 90.00 90.00 90.00°
With the nearest neighbours (Å) after each atom.
Fractional positions:
1 Ac 0.0000 0.5000 0.2387  6 Ag 3.46-3.74, 8 Zn 3.47-3.54, 2 Pb 3.74
2 Ac 0.5000 0.0000 0.7613  6 Ag 3.46-3.74, 8 Zn 3.47-3.54, 2 Pb 3.74
3 Zn 0.0000 0.0000 0.0000  4 Ag 2.68
4 Zn 0.0000 0.5000 0.6460  3 Ag 2.60-2.81, 2 Pb 2.81
5 Zn 0.5000 0.0000 0.3540  3 Ag 2.60-2.81, 2 Pb 2.81
6 Zn 0.5000 0.5000 0.0000  4 Ag 2.68
7 Ag 0.0000 0.5000 0.8748  5 Zn 2.60-2.68
8 Ag 0.5000 0.0000 0.1252  5 Zn 2.60-2.68
9 Ag 0.5000 0.5000 0.5000  4 Zn 2.81
10 Pb 0.0000 0.0000 0.5000  4 Zn 2.81

# 6
DFT (PBE-GGA) results for a geometry-optimized Ac3Ag9Pd2 structure.

Properties
Its symmetry is Immm. Its formation energy is -301.1 meV per atom. As for the total energy: -3.7563 eV per atom.

Cell: 8.7539 8.7539 8.7539 Å, 148.57 109.29 79.42°
With the nearest neighbours (Å) after each atom.
Fractional positions:
1 Ac 0.0000 0.0000 0.0000  12 Ag 3.23-3.59
2 Ac 0.3144 0.3144 0.0000  2 Pd 3.14, 10 Ag 3.38-3.45
3 Ac 0.6856 0.6856 0.0000  2 Pd 3.14, 10 Ag 3.38-3.45
4 Ag 0.0294 0.6701 0.3594  4 Ag 2.82-2.94, 1 Pd 2.88
5 Ag 0.1552 0.8795 0.2758  4 Ag 2.79-2.94, 2 Pd 2.90
6 Ag 0.3107 0.6701 0.6406  4 Ag 2.82-2.94, 1 Pd 2.88
7 Ag 0.3963 0.1205 0.2758  4 Ag 2.79-2.94, 2 Pd 2.90
8 Ag 0.5000 0.0000 0.5000  4 Ag 2.79, 4 Pd 3.04
9 Ag 0.6037 0.8795 0.7242  4 Ag 2.79-2.94, 2 Pd 2.90
10 Ag 0.6893 0.3299 0.3594  4 Ag 2.82-2.94, 1 Pd 2.88
11 Ag 0.8448 0.1205 0.7242  4 Ag 2.79-2.94, 2 Pd 2.90
12 Ag 0.9706 0.3299 0.6406  4 Ag 2.82-2.94, 1 Pd 2.88
13 Pd 0.3125 0.5000 0.8125  8 Ag 2.88-3.04, 2 Ac 3.14
14 Pd 0.6875 0.5000 0.1875  8 Ag 2.88-3.04, 2 Ac 3.14

# 7
DFT (PBE-GGA) results for a geometry-optimized AcAgPd2 structure.

Properties
Its symmetry is P4/mmm. Its formation energy is -418.4 meV per atom. As for the total energy: -4.7547 eV per atom.

Cell: 3.7408 3.7408 6.2199 Å, 90.00 90.00 90.00°
With the nearest neighbours (Å) after each atom.
Fractional positions:
1 Ac 0.0000 0.0000 0.0000  2 Ag 3.11, 8 Pd 3.15
2 Ag 0.0000 0.0000 0.5000  8 Pd 3.00, 2 Ac 3.11
3 Pd 0.5000 0.5000 0.2741  1 Pd 2.81, 4 Ag 3.00
4 Pd 0.5000 0.5000 0.7259  1 Pd 2.81, 4 Ag 3.00

# 8
DFT (PBE-GGA) results for a geometry-optimized Ac4AgPd structure.

Properties
Its symmetry is P2_1/m. As for the energy above the lowest structure with this stoichiometry: 0.0 meV per atom. Its formation energy is -323.9 meV per atom. As for the total energy: -4.4035 eV per atom.

Cell: 6.8401 7.7465 8.6682 Å, 90.00 108.67 90.00°
With the nearest neighbours (Å) after each atom.
Fractional positions:
1 Ac 0.0085 0.0016 0.2362  2 Pd 3.10-3.13, 2 Ag 3.28-3.31
2 Ac 0.0085 0.4984 0.2362  2 Pd 3.10-3.13, 2 Ag 3.28-3.31
3 Ac 0.4298 0.2500 0.6193  1 Pd 3.12, 1 Ag 3.29
4 Ac 0.4384 0.2500 0.0973  1 Pd 3.08, 1 Ag 3.23
5 Ac 0.5616 0.7500 0.9027  1 Pd 3.08, 1 Ag 3.23
6 Ac 0.5702 0.7500 0.3807  1 Pd 3.12, 1 Ag 3.29
7 Ac 0.9915 0.5016 0.7638  2 Pd 3.10-3.13, 2 Ag 3.28-3.31
8 Ac 0.9915 0.9984 0.7638  2 Pd 3.10-3.13, 2 Ag 3.28-3.31
9 Ag 0.2054 0.7500 0.5522  6 Ac 3.23-3.31
10 Ag 0.7946 0.2500 0.4478  6 Ac 3.23-3.31
11 Pd 0.2092 0.7500 0.0521  6 Ac 3.08-3.13
12 Pd 0.7908 0.2500 0.9479  6 Ac 3.08-3.13

# 9
DFT (PBE-GGA) results for a geometry-optimized Ac6AgPd3 structure.

Properties
Its symmetry is P2_1/m. Its formation energy is -481.6 meV per atom. As for the total energy: -4.7896 eV per atom.

Cell: 11.5282 4.2782 14.9341 Å, 90.00 109.64 90.00°
With the nearest neighbours (Å) after each atom.
Fractional positions:
1 Ac 0.0125 0.2500 0.1213  3 Pd 3.05-3.06
2 Ac 0.0619 0.7500 0.4023  3 Pd 3.14-3.42
3 Ac 0.2509 0.2500 0.8157  3 Pd 3.08-3.23, 2 Ag 3.27
4 Ac 0.3332 0.2500 0.5913  5 Pd 3.09-3.40, 2 Ag 3.38
5 Ac 0.3354 0.2500 0.3222  2 Pd 3.02, 1 Ag 3.35
6 Ac 0.3599 0.7500 0.0788  2 Pd 3.04, 2 Ag 3.34
7 Ac 0.6401 0.2500 0.9212  2 Pd 3.04, 2 Ag 3.34
8 Ac 0.6646 0.7500 0.6778  2 Pd 3.02, 1 Ag 3.35
9 Ac 0.6668 0.7500 0.4087  5 Pd 3.09-3.40, 2 Ag 3.38
10 Ac 0.7491 0.7500 0.1843  3 Pd 3.08-3.23, 2 Ag 3.27
11 Ac 0.9381 0.2500 0.5977  3 Pd 3.14-3.42
12 Ac 0.9875 0.7500 0.8787  3 Pd 3.05-3.06
13 Ag 0.4428 0.7500 0.7761  7 Ac 3.27-3.38, 1 Pd 3.29
14 Ag 0.5572 0.2500 0.2239  7 Ac 3.27-3.38, 1 Pd 3.29
15 Pd 0.1490 0.7500 0.6447  7 Ac 3.14-3.42, 1 Ag 3.29
16 Pd 0.1676 0.2500 0.9915  6 Ac 3.04-3.08
17 Pd 0.4107 0.7500 0.4736  2 Pd 2.89, 4 Ac 3.02-3.09
18 Pd 0.5893 0.2500 0.5264  2 Pd 2.89, 4 Ac 3.02-3.09
19 Pd 0.8324 0.7500 0.0085  6 Ac 3.04-3.08
20 Pd 0.8510 0.2500 0.3553  7 Ac 3.14-3.42, 1 Ag 3.29

# 10
DFT (PBE-GGA) results for a geometry-optimized AcAg2Pd3 structure.

Properties
Its symmetry is Cmcm. As for the energy above the lowest structure with this stoichiometry: 0.0 meV per atom. Its formation energy is -379.1 meV per atom. As for the total energy: -4.6107 eV per atom.

Cell: 6.8142 6.8142 5.5153 Å, 90.00 90.00 88.69°
With the nearest neighbours (Å) after each atom.
Fractional positions:
1 Ac 0.2268 0.7732 0.7500  7 Pd 3.02-3.30
2 Ac 0.7732 0.2268 0.2500  7 Pd 3.02-3.30
3 Ag 0.2503 0.2503 0.0000  2 Ag 2.76, 6 Pd 2.77-2.87
4 Ag 0.2503 0.2503 0.5000  2 Ag 2.76, 6 Pd 2.77-2.87
5 Ag 0.7497 0.7497 0.0000  2 Ag 2.76, 6 Pd 2.77-2.87
6 Ag 0.7497 0.7497 0.5000  2 Ag 2.76, 6 Pd 2.77-2.87
7 Pd 0.0579 0.5706 0.2500  3 Pd 2.72-3.03, 4 Ag 2.77-2.87
8 Pd 0.4294 0.9421 0.2500  3 Pd 2.72-3.03, 4 Ag 2.77-2.87
9 Pd 0.4567 0.5433 0.2500  4 Pd 2.72-2.88, 4 Ag 2.83, 1 Ac 3.02
10 Pd 0.5433 0.4567 0.7500  4 Pd 2.72-2.88, 4 Ag 2.83, 1 Ac 3.02
11 Pd 0.5706 0.0579 0.7500  3 Pd 2.72-3.03, 4 Ag 2.77-2.87
12 Pd 0.9421 0.4294 0.7500  3 Pd 2.72-3.03, 4 Ag 2.77-2.87

# 11
DFT (PBE-GGA) results for a geometry-optimized AcAg2Pd6 structure.

Properties
Its symmetry is P6/mmm. Its formation energy is -141.8 meV per atom. As for the total energy: -4.6938 eV per atom.

Cell: 5.5498 5.5498 7.3076 Å, 90.00 90.00 120.00°
With the nearest neighbours (Å) after each atom.
Fractional positions:
1 Ac 0.0000 0.0000 0.0000  12 Pd 3.10
2 Ag 0.3333 0.6667 0.5000  6 Pd 2.78
3 Ag 0.6667 0.3333 0.5000  6 Pd 2.78
4 Pd 0.0000 0.5000 0.1885  5 Pd 2.76-2.77, 2 Ag 2.78
5 Pd 0.0000 0.5000 0.8115  5 Pd 2.76-2.77, 2 Ag 2.78
6 Pd 0.5000 0.0000 0.1885  5 Pd 2.76-2.77, 2 Ag 2.78
7 Pd 0.5000 0.0000 0.8115  5 Pd 2.76-2.77, 2 Ag 2.78
8 Pd 0.5000 0.5000 0.1885  5 Pd 2.76-2.77, 2 Ag 2.78
9 Pd 0.5000 0.5000 0.8115  5 Pd 2.76-2.77, 2 Ag 2.78

# 12
DFT (PBE-GGA) results for a geometry-optimized Ac2Ag3Pd2 structure.

Properties
Its symmetry is C2/m. Its formation energy is -479.2 meV per atom. As for the total energy: -4.3587 eV per atom.

Cell: 10.5615 4.4326 7.2782 Å, 90.00 98.80 90.00°
With the nearest neighbours (Å) after each atom.
Fractional positions:
1 Ac 0.1179 0.0000 0.3263  5 Pd 3.02-3.30, 2 Ag 3.35
2 Ac 0.3821 0.5000 0.6737  5 Pd 3.02-3.30, 2 Ag 3.35
3 Ac 0.6179 0.5000 0.3263  5 Pd 3.02-3.30, 2 Ag 3.35
4 Ac 0.8821 0.0000 0.6737  5 Pd 3.02-3.30, 2 Ag 3.35
5 Ag 0.0000 0.5000 0.0000  2 Pd 2.84
6 Ag 0.1962 0.0000 0.8845  2 Pd 2.88, 3 Ag 2.91-3.19
7 Ag 0.3038 0.5000 0.1155  2 Pd 2.88, 3 Ag 2.91-3.19
8 Ag 0.5000 0.0000 0.0000  2 Pd 2.84
9 Ag 0.6962 0.5000 0.8845  2 Pd 2.88, 3 Ag 2.91-3.19
10 Ag 0.8038 0.0000 0.1155  2 Pd 2.88, 3 Ag 2.91-3.19
11 Pd 0.0943 0.5000 0.6553  1 Pd 2.77, 3 Ag 2.84-2.88, 1 Ac 3.02
12 Pd 0.4057 0.0000 0.3447  1 Pd 2.77, 3 Ag 2.84-2.88, 1 Ac 3.02
13 Pd 0.5943 0.0000 0.6553  1 Pd 2.77, 3 Ag 2.84-2.88, 1 Ac 3.02
14 Pd 0.9057 0.5000 0.3447  1 Pd 2.77, 3 Ag 2.84-2.88, 1 Ac 3.02

| no. | spin magnetization (μB/cell) |
| --- | --- |
| 1 | 0.00 |
| 2 | 2.72 |
| 3 | 0.00 |
| 4 | 0.00 |
| 5 | 0.00 |
| 6 | 0.00 |
| 7 | 0.00 |
| 8 | 0.00 |
| 9 | 0.00 |
| 10 | 0.00 |
| 11 | 0.00 |
| 12 | 0.00 |